VASP calculation (GGA-PBE) on Y4GaSbTe2 after structural relaxation.

Results
Uncorrected formation energy = -1.137 eV/atom
N(E_F) = 0.2622 states/eV/atom
Space-group type = No. 10

Geometry as POSCAR:
```
Y4GaSbTe2
1.0
-3.6962 -0.7603 1.9671
-0.5310 -6.6477 -3.5673
3.7039 -1.0523 6.5531
Y Sb Ga Te
4 1 1 2
direct
0.5000 0.7435 0.7687
0.0000 0.7355 0.2310
0.5000 0.2565 0.2313
0.0000 0.2645 0.7690
0.0000 0.0000 0.0000
0.5000 0.5000 0.0000
0.5000 0.0000 0.5000
0.0000 0.5000 0.5000
```